(1)
NaTiInF6: optimized geometry, GGA-PBE.

Values from the calculation:
crystal system	trigonal
DFT total energy	-5.524	eV per atom
D(E_F)	0.00	states/eV per cell

Lattice parameters (Å, degrees): 5.783 5.783 5.544 90.00 90.00 120.00
Fractional coordinates of all 9 atoms:
Na (0.000, 0.000, 0.000)
Ti (0.333, 0.667, 0.000)
In (0.667, 0.333, 0.500)
F (0.073, 0.388, 0.195)
F (0.073, 0.685, 0.805)
F (0.315, 0.388, 0.805)
F (0.315, 0.927, 0.195)
F (0.612, 0.685, 0.195)
F (0.612, 0.927, 0.805)

(2)
NaTl2InF6: optimized geometry, GGA-PBE.

Values from the calculation:
crystal system	cubic
DFT total energy	-4.336	eV per atom
D(E_F)	0.00	states/eV per cell

Lattice parameters (Å, degrees): 6.243 6.243 6.243 60.00 60.00 60.00
Fractional coordinates of all 10 atoms:
Na (0.000, 0.000, 0.000)
Tl (0.250, 0.250, 0.250)
Tl (0.750, 0.750, 0.750)
In (0.500, 0.500, 0.500)
F (0.261, 0.261, 0.739)
F (0.261, 0.739, 0.261)
F (0.261, 0.739, 0.739)
F (0.739, 0.261, 0.261)
F (0.739, 0.261, 0.739)
F (0.739, 0.739, 0.261)

(3)
NaTl2InF4: optimized geometry, GGA-PBE.

Values from the calculation:
crystal system	orthorhombic
DFT total energy	-3.931	eV per atom

Lattice parameters (Å, degrees): 7.644 7.644 7.644 120.66 119.01 90.29
Fractional coordinates of all 16 atoms:
Na (0.500, 0.000, 0.000)
Na (0.500, 0.500, 0.500)
Tl (0.000, 0.000, 0.000)
Tl (0.000, 0.000, 0.500)
Tl (0.000, 0.500, 0.000)
Tl (0.500, 0.000, 0.500)
In (0.000, 0.500, 0.500)
In (0.500, 0.500, 0.000)
F (0.276, 0.747, 0.529)
F (0.278, 0.284, 0.506)
F (0.278, 0.773, 0.994)
F (0.283, 0.253, 0.029)
F (0.717, 0.747, 0.971)
F (0.722, 0.227, 0.006)
F (0.722, 0.716, 0.494)
F (0.724, 0.253, 0.471)

(4)
Na2TlInF6: optimized geometry, GGA-PBE.

Values from the calculation:
crystal system	trigonal
DFT total energy	-4.393	eV per atom
D(E_F)	0.00	states/eV per cell

Lattice parameters (Å, degrees): 6.434 6.434 6.434 55.65 55.65 55.65
Fractional coordinates of all 10 atoms:
Na (0.000, 0.000, 0.000)
Na (0.485, 0.485, 0.485)
Tl (0.213, 0.213, 0.213)
In (0.688, 0.688, 0.688)
F (0.059, 0.445, 0.748)
F (0.308, 0.838, 0.661)
F (0.445, 0.748, 0.059)
F (0.661, 0.308, 0.838)
F (0.748, 0.059, 0.445)
F (0.838, 0.661, 0.308)

(5)
NaTlInF3: optimized geometry, GGA-PBE.

Values from the calculation:
crystal system	monoclinic
DFT total energy	-4.059	eV per atom
D(E_F)	0.00	states/eV per cell

Lattice parameters (Å, degrees): 7.762 7.762 10.317 118.88 118.88 26.70
Fractional coordinates of all 12 atoms:
Na (0.152, 0.152, 0.023)
Na (0.848, 0.848, 0.977)
Tl (0.122, 0.122, 0.672)
Tl (0.878, 0.878, 0.328)
In (0.395, 0.395, 0.677)
In (0.605, 0.605, 0.323)
F (0.019, 0.019, 0.170)
F (0.315, 0.315, 0.809)
F (0.333, 0.333, 0.130)
F (0.667, 0.667, 0.870)
F (0.685, 0.685, 0.191)
F (0.981, 0.981, 0.830)

(6)
NaTmInF6: optimized geometry, GGA-PBE.

Values from the calculation:
crystal system	trigonal
DFT total energy	-5.268	eV per atom
D(E_F)	6.34	states/eV per cell

Lattice parameters (Å, degrees): 6.020 6.020 9.346 90.00 90.00 120.00
Fractional coordinates of all 18 atoms:
Na (0.000, 0.000, 0.000)
Na (0.000, 0.000, 0.500)
Tm (0.333, 0.667, 0.250)
Tm (0.667, 0.333, 0.750)
In (0.333, 0.667, 0.750)
In (0.667, 0.333, 0.250)
F (0.022, 0.360, 0.132)
F (0.022, 0.662, 0.368)
F (0.338, 0.360, 0.368)
F (0.338, 0.978, 0.132)
F (0.360, 0.022, 0.632)
F (0.360, 0.338, 0.868)
F (0.640, 0.662, 0.132)
F (0.640, 0.978, 0.368)
F (0.662, 0.022, 0.868)
F (0.662, 0.640, 0.632)
F (0.978, 0.338, 0.632)
F (0.978, 0.640, 0.868)

(7)
NaTmIn2F6: optimized geometry, GGA-PBE.

Values from the calculation:
crystal system	trigonal
DFT total energy	-5.117	eV per atom
D(E_F)	0.00	states/eV per cell

Lattice parameters (Å, degrees): 6.354 6.354 6.354 60.04 60.04 60.04
Fractional coordinates of all 10 atoms:
Na (0.000, 0.000, 0.000)
Tm (0.505, 0.505, 0.505)
In (0.225, 0.225, 0.225)
In (0.725, 0.725, 0.725)
F (0.267, 0.269, 0.779)
F (0.269, 0.779, 0.267)
F (0.302, 0.747, 0.744)
F (0.744, 0.302, 0.747)
F (0.747, 0.744, 0.302)
F (0.779, 0.267, 0.269)

(8)
NaUIn2F8: optimized geometry, GGA-PBE.

Values from the calculation:
crystal system	orthorhombic
DFT total energy	-5.505	eV per atom
D(E_F)	4.92	states/eV per cell

Lattice parameters (Å, degrees): 4.016 6.452 8.364 90.00 90.00 90.00
Fractional coordinates of all 12 atoms:
Na (0.000, 0.000, 0.000)
U (0.000, 0.000, 0.500)
In (0.500, 0.500, 0.215)
In (0.500, 0.500, 0.785)
F (0.000, 0.201, 0.297)
F (0.000, 0.201, 0.703)
F (0.000, 0.799, 0.297)
F (0.000, 0.799, 0.703)
F (0.500, 0.185, 0.500)
F (0.500, 0.253, 0.000)
F (0.500, 0.747, 0.000)
F (0.500, 0.815, 0.500)